Computed, not measured: Na2MnSnF6 after structural relaxation at the GGA+U level of DFT.

Output
- Electronic total energy: -5.11 eV per atom

Cell: 5.8686 5.8686 15.3246 Å, 90.00 90.00 120.00°
Closest atoms and distances in Å follow each position.
Space group R3 (No. 146, hexagonal axes)
One atom of each set of equivalent atoms:
Na: 0.0000 0.0000 0.0000 (multiplicity 3)  6 F 2.27-2.45
Na: 0.0000 0.0000 0.4957 (multiplicity 3)  6 F 2.34-2.43
Mn: 0.0000 0.0000 0.7067 (multiplicity 3)  6 F 2.15-2.18
Sn: 0.0000 0.0000 0.2138 (multiplicity 3)  6 F 2.38-2.45
F: 0.0053 0.7231 0.6127 (multiplicity 9)  1 Mn 2.18, 2 Na 2.27-2.43, 1 Sn 2.38
F: 0.0415 0.3412 0.7736 (multiplicity 9)  1 Mn 2.15, 1 Na 2.34